## GaCoH2BrO (PBE+U)

Data for a geometry-optimized GaCoH2BrO structure.

abc: 3.9592 5.6730 5.2597
angles: 115.49 112.08 90.16
Last column: magnetic moment on the atom in μB.
Fractional positions:
H 0.9579 0.8515 0.3196  -0.02
Br 0.1850 0.5195 0.7757  0.02
O 0.3627 0.1259 0.1263  0.02
Co 0.1392 0.9771 0.6816  1.88
Ga 0.4647 0.9083 0.3328  -0.03
H 0.4372 0.3173 0.2637  0.00

Values from the calculation:
Space-group type: No. 1
Energy relative to the lowest polymorph listed for this composition in eV/atom: 0.000